No. 1
Crystalline YPa2SiN5 at its relaxed geometry, computed with PBE-GGA.

extended XYZ file:
```
18
Lattice="-0.7448 -4.5593 -2.9745 6.1209 -1.9228 1.4146 -2.2148 -3.1218 5.3398" Properties=species:S:1:pos:R:3 pbc="T T T"
Y 1.9531 -2.5223 3.3772
Y 0.0000 0.0000 0.0000
Pa 3.3795 -4.1341 0.4157
Pa -0.0042 -3.6283 0.4878
Pa 3.1656 -5.9756 3.2921
Pa -0.2182 -5.4699 3.3642
Si -1.1074 -1.5609 2.6699
Si 3.0605 -0.9614 0.7073
N 1.5807 -4.8020 1.8900
N -0.3724 -2.2796 -1.4872
N -0.7353 -3.3374 2.9175
N 4.2918 -3.8475 2.4406
N 1.7185 -2.1994 0.5587
N 1.8380 -4.9855 4.7993
N -1.1305 -5.7564 1.3393
N 1.4428 -7.4045 3.2212
N 3.8966 -6.2666 0.8624
N 1.3233 -4.6185 -1.0194
```

Output
The density of states at the Fermi level comes out at 8.03 states/eV per cell. The symmetry is P4/mbm (127). Its total magnetic moment is 0.00 μB per formula unit. The value obtained for the formation energy from raw total energies is -1235 meV/atom.

No. 2
Crystalline YPa2SiN6 at its relaxed geometry, computed with PBE-GGA.

extended XYZ file:
```
10
Lattice="5.1518 0.0000 0.0000 0.0000 5.2316 0.0000 0.0000 0.0000 5.2316" Properties=species:S:1:pos:R:3 pbc="T T T"
Y 2.8203 2.6158 2.6158
Pa 5.0973 2.6158 0.0000
Pa 5.0973 0.0000 2.6158
Si 3.0842 0.0000 0.0000
N 3.8075 1.2027 1.2027
N 3.8075 1.2027 4.0289
N 0.5865 2.6158 2.6158
N 1.2974 0.0000 0.0000
N 3.8075 4.0289 4.0289
N 3.8075 4.0289 1.2027
```

Output
The density of states at the Fermi level comes out at 5.04 states/eV per cell. The symmetry is P4mm (99). Its total magnetic moment is 0.00 μB per formula unit. The value obtained for the formation energy from raw total energies is -981 meV/atom.

No. 3
Crystalline PaZnSiN at its relaxed geometry, computed with PBE-GGA.

extended XYZ file:
```
8
Lattice="-2.4868 0.0055 -3.0458 2.3780 -2.4535 -1.9460 -4.0230 -6.4951 3.2729" Properties=species:S:1:pos:R:3 pbc="T T T"
Pa -2.2562 -6.7890 1.8299
Pa -1.8212 -0.9300 -1.0529
Zn -2.0115 -3.2475 1.6365
Zn -2.0659 -4.4715 -0.8594
Si -4.0153 -4.4725 0.7322
Si -0.0621 -3.2466 0.0448
N -0.0544 -1.2240 -2.4959
N 0.0000 0.0000 0.0000
```

Output
The density of states at the Fermi level comes out at 1.43 states/eV per cell. The symmetry is P4/nmm (129). Its total magnetic moment is 0.00 μB per formula unit. The value obtained for the formation energy from raw total energies is -916 meV/atom.

No. 4
Crystalline ZrPaSiN4 at its relaxed geometry, computed with PBE-GGA.

extended XYZ file:
```
14
Lattice="6.2889 0.0000 0.0000 3.1444 5.5189 0.0147 3.1444 1.6953 5.2520" Properties=species:S:1:pos:R:3 pbc="T T T"
Zr 4.7167 0.8477 2.6260
Zr 1.5722 0.8477 2.6260
Pa 0.0000 0.0000 0.0000
Pa 3.1444 3.6071 2.6334
Si 6.2889 3.6584 0.6637
Si 6.2889 3.5558 4.6031
N 9.4333 5.3928 4.0719
N 6.2889 5.3001 4.0042
N 6.2889 1.9141 1.2626
N 3.1444 1.8214 1.1949
N 4.8380 4.5285 1.2989
N 7.7397 4.5285 1.2989
N 4.8381 2.6857 3.9679
N 7.7397 2.6857 3.9679
```

Output
The density of states at the Fermi level comes out at 1.94 states/eV per cell. The symmetry is Imma (74). Its total magnetic moment is 0.00 μB per formula unit. The value obtained for the formation energy from raw total energies is -1078 meV/atom.

No. 5
Crystalline Sm4Pa3N8 at its relaxed geometry, computed with PBE-GGA.

extended XYZ file:
```
15
Lattice="-3.9505 3.9619 -4.2619 4.0925 -5.1841 -2.6187 -2.9982 -4.7054 4.3990" Properties=species:S:1:pos:R:3 pbc="T T T"
Sm -1.9752 1.9809 -2.1309
Sm 2.0463 -2.5921 -1.3093
Sm 0.0000 0.0000 0.0000
Sm -1.4991 -2.3527 2.1995
Pa 0.0710 -0.6111 -3.4403
Pa -3.4744 -0.3717 0.0686
Pa -1.4281 -2.9638 -1.2408
N -1.6543 -0.5285 -1.6354
N 2.3820 -5.0686 -0.9258
N 0.0923 -2.3951 0.2567
N 0.3208 -3.0819 -2.9716
N -3.1770 -2.8457 0.4901
N -2.9485 -3.5325 -2.7382
N -1.2877 -4.8209 2.7061
N -1.2019 -5.3991 -0.8461
```

Output
The density of states at the Fermi level comes out at 5.10 states/eV per cell. The symmetry is C2/m (12). Its total magnetic moment is 0.00 μB per formula unit. The value obtained for the formation energy from raw total energies is -1352 meV/atom.

No. 6
Crystalline SmPaN3 at its relaxed geometry, computed with PBE-GGA.

extended XYZ file:
```
10
Lattice="3.7089 0.0000 0.0000 0.0000 6.8951 -0.1396 0.0000 -2.4440 6.4489" Properties=species:S:1:pos:R:3 pbc="T T T"
Sm 0.0000 3.4485 -0.0686
Sm 0.0000 -1.2211 3.2258
Pa 1.8544 0.0009 0.0013
Pa 1.8544 2.2263 3.1557
N 1.8544 2.0485 5.2100
N 1.8544 4.2213 3.6772
N 0.0000 5.7796 0.6492
N 0.0000 -1.3267 5.6626
N 1.8544 2.4040 1.1014
N 1.8544 0.2314 2.6342
```

Output
The density of states at the Fermi level comes out at 6.12 states/eV per cell. The symmetry is Cmmm (65). Its total magnetic moment is 0.12 μB per formula unit. The value obtained for the formation energy from raw total energies is -1064 meV/atom.

No. 7
Crystalline Sm2PaN4 at its relaxed geometry, computed with PBE-GGA.

extended XYZ file:
```
14
Lattice="-2.8959 3.2883 4.6441 -1.1742 -6.2522 0.5463 6.2440 1.2142 0.5524" Properties=species:S:1:pos:R:3 pbc="T T T"
Sm 0.4806 2.6638 4.4166
Sm 2.0458 0.0814 2.8319
Sm 2.5303 -3.2878 2.6253
Sm -0.7089 -2.9567 1.6118
Pa 0.0000 0.0000 0.0000
Pa -1.1980 -0.3563 3.8943
N 0.9406 -4.6298 1.1372
N 0.4201 -1.9152 3.6570
N 1.0535 0.1716 5.3454
N 4.5422 0.4087 1.8013
N -2.6929 -2.5948 3.4378
N 3.1033 1.9803 4.1803
N -0.1162 1.0652 2.5111
N 1.4449 -1.4849 0.9011
```

Output
The density of states at the Fermi level comes out at 7.20 states/eV per cell. The symmetry is I-42d (122). Its total magnetic moment is 0.00 μB per formula unit. The value obtained for the formation energy from raw total energies is -1270 meV/atom.

No. 8
Crystalline Sm4PaN4 at its relaxed geometry, computed with PBE-GGA.

extended XYZ file:
```
9
Lattice="-1.7324 3.0848 -0.5394 -2.9906 -0.5537 -5.4346 -7.5247 -1.7993 2.0043" Properties=species:S:1:pos:R:3 pbc="T T T"
Sm -3.8642 1.6020 -2.1730
Sm -6.9734 1.5838 -4.1647
Sm -8.3835 -0.8701 -1.7966
Sm -5.2743 -0.8518 0.1950
Pa -0.8662 1.5424 -0.2697
N -2.9852 0.3794 -0.1153
N -9.2625 0.3525 -3.8544
N -9.2414 1.0171 -0.1207
N -3.0062 -0.2852 -3.8489
```

Output
The density of states at the Fermi level comes out at 5.73 states/eV per cell. The symmetry is C2/m (12). Its total magnetic moment is 0.00 μB per formula unit. The value obtained for the formation energy from raw total energies is -1367 meV/atom.

No. 9
Crystalline Sm5Pa3N8 at its relaxed geometry, computed with PBE-GGA.

extended XYZ file:
```
16
Lattice="-6.2778 0.3227 -3.3149 -4.5964 -5.3908 0.5623 -5.9689 0.7976 3.7638" Properties=species:S:1:pos:R:3 pbc="T T T"
Sm -3.1389 0.1613 -1.6575
Sm -5.4371 -2.5341 -1.3763
Sm 0.0000 0.0000 0.0000
Sm -2.2982 -2.6954 0.2811
Sm -8.4215 -2.1353 0.5056
Pa -6.1233 0.5601 0.2244
Pa -2.9844 0.3988 1.8819
Pa -5.2826 -2.2966 2.1630
N -7.0491 -0.6878 2.0434
N -9.4603 -3.5157 2.3384
N -10.3423 -0.5185 0.3045
N -12.5679 -3.2713 0.6298
N -9.7939 -3.5828 -1.0323
N -7.3828 -0.7549 -1.3272
N -6.5007 -3.7520 0.7066
N -4.2752 -0.9993 0.3814
```

Output
The density of states at the Fermi level comes out at 9.00 states/eV per cell. The symmetry is R-3m (166). Its total magnetic moment is 0.00 μB per formula unit. The value obtained for the formation energy from raw total energies is -1597 meV/atom.

No. 10
Crystalline Sm4PaN4 at its relaxed geometry, computed with PBE-GGA.

extended XYZ file:
```
9
Lattice="-2.6738 -0.9661 5.0636 3.3059 -4.6981 0.8493 3.5079 5.9971 -0.3335" Properties=species:S:1:pos:R:3 pbc="T T T"
Sm -1.3369 -0.4830 2.5318
Sm 1.6530 -2.3491 0.4246
Sm 2.1975 1.8188 1.5073
Sm 1.9426 -1.4859 4.0721
Pa 0.0000 0.0000 0.0000
N 3.0405 0.7833 3.6205
N 2.9517 -3.0825 2.4348
N 2.6863 3.9566 0.3078
N -0.3984 -0.9917 4.7959
```

Output
The density of states at the Fermi level comes out at 6.78 states/eV per cell. The symmetry is I-42m (121). Its total magnetic moment is 2.41 μB per formula unit. The value obtained for the formation energy from raw total energies is -735 meV/atom.

No. 11
Crystalline SmPaN3 at its relaxed geometry, computed with PBE-GGA.

extended XYZ file:
```
5
Lattice="-2.7370 1.2518 3.1127 -3.3330 -0.5561 -2.7071 -0.3829 -4.1074 1.3152" Properties=species:S:1:pos:R:3 pbc="T T T"
Pa 0.0000 0.0000 0.0000
Sm -3.2265 -1.7058 0.8604
N -1.6665 -0.2781 -1.3536
N -0.1915 -2.0537 0.6576
N -1.3685 0.6259 1.5563
```

Output
The density of states at the Fermi level comes out at 2.43 states/eV per cell. The symmetry is Pm-3m (221). Its total magnetic moment is 0.00 μB per formula unit. The value obtained for the formation energy from raw total energies is -938 meV/atom.

No. 12
Crystalline Sm2PaN at its relaxed geometry, computed with PBE-GGA.

extended XYZ file:
```
4
Lattice="3.3805 0.0000 0.0000 1.6902 2.9276 0.0000 1.6902 0.9759 9.6081" Properties=species:S:1:pos:R:3 pbc="T T T"
Pa 0.0000 0.0000 0.0000
Sm 1.6902 0.9759 6.2378
Sm 5.0707 2.9276 3.3703
N 3.3805 1.9517 4.8041
```

Output
The density of states at the Fermi level comes out at 4.73 states/eV per cell. The symmetry is R-3m (166). Its total magnetic moment is 0.03 μB per formula unit. The value obtained for the formation energy from raw total energies is -420 meV/atom.

Which formula does entry 12 have?
Sm2PaN

The highest total magnetic moment belongs to which entry?
number 10

Copy entry 1 word for word.
Crystalline YPa2SiN5 at its relaxed geometry, computed with PBE-GGA.

extended XYZ file:
```
18
Lattice="-0.7448 -4.5593 -2.9745 6.1209 -1.9228 1.4146 -2.2148 -3.1218 5.3398" Properties=species:S:1:pos:R:3 pbc="T T T"
Y 1.9531 -2.5223 3.3772
Y 0.0000 0.0000 0.0000
Pa 3.3795 -4.1341 0.4157
Pa -0.0042 -3.6283 0.4878
Pa 3.1656 -5.9756 3.2921
Pa -0.2182 -5.4699 3.3642
Si -1.1074 -1.5609 2.6699
Si 3.0605 -0.9614 0.7073
N 1.5807 -4.8020 1.8900
N -0.3724 -2.2796 -1.4872
N -0.7353 -3.3374 2.9175
N 4.2918 -3.8475 2.4406
N 1.7185 -2.1994 0.5587
N 1.8380 -4.9855 4.7993
N -1.1305 -5.7564 1.3393
N 1.4428 -7.4045 3.2212
N 3.8966 -6.2666 0.8624
N 1.3233 -4.6185 -1.0194
```

Output
The density of states at the Fermi level comes out at 8.03 states/eV per cell. The symmetry is P4/mbm (127). Its total magnetic moment is 0.00 μB per formula unit. The value obtained for the formation energy from raw total energies is -1235 meV/atom.